! Cr2GeMoO6 (GGA+U, optimized geometry); values from VASP
&SYSTEM
  ibrav = 0, nat = 10, ntyp = 4
/
ATOMIC_SPECIES
Cr 52.00 Cr.upf
Ge 72.64 Ge.upf
Mo 95.94 Mo.upf
O 16.00 O.upf
ATOMIC_POSITIONS crystal
Cr 0.000 0.000 0.000
Cr 0.493 0.027 0.468
Ge 0.799 0.412 0.395
Mo 0.295 0.425 0.879
O 0.079 0.234 0.198
O 0.182 0.225 0.666
O 0.449 0.485 0.205
O 0.581 0.553 0.646
O 0.702 0.879 0.197
O 0.882 0.938 0.668
CELL_PARAMETERS angstrom
5.157 0.000 0.000
2.556 4.516 0.000
0.044 2.827 4.760
! - final energy (eV per cell) = -72.52
! - space-group type = P1 (1)
! - size of the total moment (μB per formula unit) = 8.000
! - calculated volume (Å³ per cell) = 110.8